1.
Here is crystalline In2SbOs at its relaxed geometry from Alexandria via LeMat-Bulk. Energies are from PBE.

Fermi-level density of states = 2.03 states/eV/f.u.
Formation energy (no corrections) = 245 meV per atom
E = -19.9 eV/f.u.
Total moment = 0.0 μB/f.u.
Space-group type = Imm2

a b c (Å): 7.0781 7.0781 7.0781
angles (deg): 154.43 142.13 46.25
Last column: nearest neighbours and their distance in Å.
Sites, in units of the cell vectors:
In 0.0030 0.0030 0.0000  4 Os 2.78
In 0.6820 0.1820 0.5000  2 Os 2.92, 4 In 3.13-3.27
Os 0.4923 0.4923 0.0000  2 Sb 2.71, 6 In 2.78-2.92
Sb 0.3227 0.8227 0.5000  2 Os 2.71

=====

2.
Here is crystalline InSb12Os4 at its relaxed geometry from Alexandria via LeMat-Bulk. Energies are from PBE.

Fermi-level density of states = 21.24 states/eV/f.u.
Formation energy (no corrections) = 22 meV per atom
E = -96.8 eV/f.u.
Total moment = 0.0 μB/f.u.
Space-group type = Im-3

a b c (Å): 8.1875 8.1875 8.1875
angles (deg): 109.47 109.47 109.47
Last column: nearest neighbours and their distance in Å.
Sites, in units of the cell vectors:
In 0.0000 0.0000 0.0000  12 Sb 3.51
Sb 0.8439 0.3363 0.1802  2 Os 2.65, 1 Sb 2.95
Sb 0.3363 0.4924 0.1561  2 Os 2.65, 1 Sb 2.95
Sb 0.8198 0.1561 0.6637  2 Os 2.65, 1 Sb 2.95
Sb 0.3363 0.1802 0.8439  2 Os 2.65, 1 Sb 2.95
Sb 0.1802 0.8439 0.3363  2 Os 2.65, 1 Sb 2.95
Sb 0.6637 0.5076 0.8439  2 Os 2.65, 1 Sb 2.95
Sb 0.4924 0.1561 0.3363  2 Os 2.65, 1 Sb 2.95
Sb 0.5076 0.8439 0.6637  2 Os 2.65, 1 Sb 2.95
Sb 0.6637 0.8198 0.1561  2 Os 2.65, 1 Sb 2.95
Sb 0.8439 0.6637 0.5076  2 Os 2.65, 1 Sb 2.95
Sb 0.1561 0.3363 0.4924  2 Os 2.65, 1 Sb 2.95
Sb 0.1561 0.6637 0.8198  2 Os 2.65, 1 Sb 2.95
Os 0.0000 0.5000 0.0000  6 Sb 2.65
Os 0.5000 0.0000 0.0000  6 Sb 2.65
Os 0.5000 0.5000 0.5000  6 Sb 2.65
Os 0.0000 0.0000 0.5000  6 Sb 2.65

=====

3.
Here is crystalline In2SbOs at its relaxed geometry from Alexandria via LeMat-Bulk. Energies are from PBE.

Fermi-level density of states = 2.81 states/eV/f.u.
Formation energy (no corrections) = 622 meV per atom
E = -18.3 eV/f.u.
Total moment = 0.0 μB/f.u.
Space-group type = I-4m2

a b c (Å): 5.1369 5.1369 5.1369
angles (deg): 127.18 127.18 77.96
Last column: nearest neighbours and their distance in Å.
Sites, in units of the cell vectors:
In 0.0000 0.0000 0.0000  4 In 3.03, 4 Sb 3.03, 4 Os 3.23
In 0.2500 0.7500 0.5000  4 Os 3.03, 4 In 3.03, 4 Sb 3.23
Os 0.5000 0.5000 0.0000  4 Sb 3.03, 8 In 3.03-3.23
Sb 0.7500 0.2500 0.5000  4 Os 3.03, 8 In 3.03-3.23

=====

4.
Here is crystalline InSbOs at its relaxed geometry from Alexandria via LeMat-Bulk. Energies are from PBE.

Offset from the most stable computed form = 0.24 eV/f.u.
Fermi-level density of states = 2.09 states/eV/f.u.
Formation energy (no corrections) = 385 meV per atom
E = -16.9 eV/f.u.
Total moment = 0.0 μB/f.u.
Space-group type = P3m1

a b c (Å): 3.3550 3.3550 6.5314
angles (deg): 90.00 90.00 120.00
Last column: nearest neighbours and their distance in Å.
Sites, in units of the cell vectors:
In 0.0000 0.0000 0.0325  3 Os 2.81
Os 0.6667 0.3333 0.3446  3 Sb 2.66, 3 In 2.81
Sb 0.3333 0.6667 0.6229  3 Os 2.66

=====

5.
Here is crystalline In2SbOs at its relaxed geometry from Alexandria via LeMat-Bulk. Energies are from PBE.

Fermi-level density of states = 2.26 states/eV/f.u.
Formation energy (no corrections) = 215 meV per atom
E = -20.0 eV/f.u.
Total moment = 0.0 μB/f.u.
Space-group type = P4mm

a b c (Å): 3.2110 3.2110 8.7920
angles (deg): 90.00 90.00 90.00
Last column: nearest neighbours and their distance in Å.
Sites, in units of the cell vectors:
In 0.0000 0.0000 0.0144  8 In 3.21-3.37
In 0.5000 0.5000 0.2973  4 Os 2.92, 4 In 3.21
Os 0.0000 0.0000 0.5062  4 Sb 2.75, 4 In 2.92
Sb 0.5000 0.5000 0.6820  4 Os 2.75

=====

6.
Here is crystalline In3SbOs at its relaxed geometry from Alexandria via LeMat-Bulk. Energies are from PBE.

Offset from the most stable computed form = 0.00 eV/f.u.
Fermi-level density of states = 4.96 states/eV/f.u.
Formation energy (no corrections) = 480 meV per atom
E = -21.2 eV/f.u.
Total moment = 1.6 μB/f.u.
Space-group type = Pm-3m

a b c (Å): 5.2171 5.2171 5.2171
angles (deg): 90.00 90.00 90.00
Last column: nearest neighbours and their distance in Å.
Sites, in units of the cell vectors:
Sb 0.5000 0.5000 0.5000  12 In 3.69
Os 0.0000 0.0000 0.0000  6 In 2.61
In 0.0000 0.5000 0.0000  2 Os 2.61
In 0.0000 0.0000 0.5000  2 Os 2.61
In 0.5000 0.0000 0.0000  2 Os 2.61

=====

7.
Here is crystalline In2SbOs at its relaxed geometry from Alexandria via LeMat-Bulk. Energies are from PBE.

Fermi-level density of states = 2.38 states/eV/f.u.
Formation energy (no corrections) = 549 meV per atom
E = -18.6 eV/f.u.
Total moment = 0.0 μB/f.u.
Space-group type = C2/m

a b c (Å): 5.0813 5.0813 5.2226
angles (deg): 79.09 79.09 40.11
Last column: nearest neighbours and their distance in Å.
Sites, in units of the cell vectors:
In 0.0171 0.0171 0.9647  3 Os 2.87-2.99, 2 In 2.91, 3 Sb 2.91-3.20
In 0.4829 0.4829 0.5353  3 Os 2.87-2.99, 2 In 2.91, 3 Sb 2.91-3.20
Os 0.7500 0.7500 0.7500  6 In 2.87-2.99, 4 Sb 3.14
Sb 0.2500 0.2500 0.2500  6 In 2.91-3.20, 4 Os 3.14

=====

8.
Here is crystalline InSbOs2 at its relaxed geometry from Alexandria via LeMat-Bulk. Energies are from PBE.

Offset from the most stable computed form = 2.22 eV/f.u.
Fermi-level density of states = 3.69 states/eV/f.u.
Formation energy (no corrections) = 935 meV per atom
E = -25.6 eV/f.u.
Total moment = 1.1 μB/f.u.
Space-group type = F-43m

a b c (Å): 4.6821 4.6821 4.6821
angles (deg): 60.00 60.00 60.00
Last column: nearest neighbours and their distance in Å.
Sites, in units of the cell vectors:
In 0.5000 0.5000 0.5000  4 Sb 2.87, 4 Os 2.87
Os 0.0000 0.0000 0.0000  4 Os 2.87, 4 Sb 2.87
Os 0.2500 0.2500 0.2500  4 In 2.87, 4 Os 2.87
Sb 0.7500 0.7500 0.7500  4 Os 2.87, 4 In 2.87

=====

9.
Here is crystalline InSbOs at its relaxed geometry from Alexandria via LeMat-Bulk. Energies are from PBE.

Offset from the most stable computed form = 0.96 eV/f.u.
Fermi-level density of states = 2.82 states/eV/f.u.
Formation energy (no corrections) = 626 meV per atom
E = -16.2 eV/f.u.
Total moment = 0.0 μB/f.u.
Space-group type = Fmm2

a b c (Å): 7.8991 7.6296 3.0940
angles (deg): 83.45 73.65 22.90
Last column: nearest neighbours and their distance in Å.
Sites, in units of the cell vectors:
In 0.9817 0.9817 0.0183  2 Os 2.80, 4 In 3.09
Os 0.3293 0.3293 0.6707  2 Sb 2.66, 2 In 2.80
Sb 0.6890 0.6890 0.3110  2 Os 2.66

=====

10.
Here is crystalline In2SbOs at its relaxed geometry from Alexandria via LeMat-Bulk. Energies are from PBE.

Fermi-level density of states = 3.79 states/eV/f.u.
Formation energy (no corrections) = 478 meV per atom
E = -18.9 eV/f.u.
Total moment = 0.0 μB/f.u.
Space-group type = Cmm2

a b c (Å): 3.1361 3.1361 10.5620
angles (deg): 90.00 90.00 117.39
Last column: nearest neighbours and their distance in Å.
Sites, in units of the cell vectors:
In 0.0000 0.0000 0.0151  8 In 3.14-3.30
In 0.5000 0.5000 0.2867  2 Os 2.78
Os 0.0000 0.0000 0.4998  2 Sb 2.66, 2 In 2.78
Sb 0.5000 0.5000 0.6984  2 Os 2.66

=====

11.
Here is crystalline InSb3Os at its relaxed geometry from Alexandria via LeMat-Bulk. Energies are from PBE.

Offset from the most stable computed form = 0.00 eV/f.u.
Fermi-level density of states = 4.64 states/eV/f.u.
Formation energy (no corrections) = 583 meV per atom
E = -23.4 eV/f.u.
Total moment = 0.0 μB/f.u.
Space-group type = Pm-3m

a b c (Å): 5.2195 5.2195 5.2195
angles (deg): 90.00 90.00 90.00
Last column: nearest neighbours and their distance in Å.
Sites, in units of the cell vectors:
Sb 0.0000 0.5000 0.0000  2 Os 2.61
Sb 0.0000 0.0000 0.5000  2 Os 2.61
Sb 0.5000 0.0000 0.0000  2 Os 2.61
Os 0.0000 0.0000 0.0000  6 Sb 2.61
In 0.5000 0.5000 0.5000  12 Sb 3.69

=====

12.
Here is crystalline In2SbOs at its relaxed geometry from Alexandria via LeMat-Bulk. Energies are from PBE.

Fermi-level density of states = 1.69 states/eV/f.u.
Formation energy (no corrections) = 675 meV per atom
E = -18.1 eV/f.u.
Total moment = 0.0 μB/f.u.
Space-group type = Pmmm

a b c (Å): 3.4904 5.0321 4.7954
angles (deg): 90.00 90.00 90.00
Last column: nearest neighbours and their distance in Å.
Sites, in units of the cell vectors:
In 0.0000 0.0000 0.0000  4 Os 2.97, 4 In 3.06
In 0.5000 0.5000 0.0000  4 Sb 2.97, 4 In 3.06
Os 0.5000 0.0000 0.5000  4 In 2.97, 4 Sb 3.06
Sb 0.0000 0.5000 0.5000  4 In 2.97, 4 Os 3.06